Compound: TlNiMoO4
Source: Alexandria
Functional: GGA+U
Structure: optimized geometry

Structure (POSCAR):
```
TlNiMoO4
1.0
5.9113 0.0000 0.0000
0.0000 6.8316 0.0000
-0.1605 0.0000 6.5170
Tl Ni Mo O
2 2 2 8
direct
0.1286 0.2500 0.1611 Tl
0.8714 0.7500 0.8389 Tl
0.3494 0.7500 0.8214 Ni
0.6506 0.2500 0.1786 Ni
0.4623 0.2500 0.7289 Mo
0.5377 0.7500 0.2711 Mo
0.2674 0.7500 0.1369 O
0.3018 0.0396 0.8095 O
0.3018 0.4604 0.8095 O
0.4988 0.2500 0.4558 O
0.5012 0.7500 0.5442 O
0.6982 0.5396 0.1905 O
0.6982 0.9604 0.1905 O
0.7326 0.2500 0.8631 O
```

Properties
Total energy = -80.0 eV for the cell shown
Magnetic moment = 2.000 μB per cell